1 | A relaxed TiBe3Br crystal, computed with GGA-PBE.

a = 4.8373 Å, b = 4.8373 Å, c = 4.8373 Å
α = 90.00°, β = 90.00°, γ = 90.00°
Closest atoms and distances in Å follow each position.
Space group Pm-3m (No. 221)
Symmetry-distinct sites (fractional):
Ti 0.0000 0.0000 0.0000  6 Be 2.42
Be 0.0000 0.0000 0.5000  2 Ti 2.42
Br 0.5000 0.5000 0.5000  12 Be 3.42

Summary:
Magnetic moment ... 0.00 μB per atom
Crystal system ... cubic


2 | A relaxed TiBe3Br crystal, computed with GGA-PBE.

a = 4.3495 Å, b = 4.3495 Å, c = 4.3495 Å
α = 90.00°, β = 90.00°, γ = 90.00°
Closest atoms and distances in Å follow each position.
Space group Pm-3m (No. 221)
Symmetry-distinct sites (fractional):
Ti 0.0000 0.0000 0.0000  12 Be 3.08
Be 0.0000 0.5000 0.5000  2 Br 2.17
Br 0.5000 0.5000 0.5000  6 Be 2.17

Summary:
Magnetic moment ... 0.41 μB per atom
Crystal system ... cubic


Q: Which of them is the most stable? A: 2.